# TaMo2Au

TaMo2Au after structural relaxation (PBE-GGA, the Alexandria database).

* symmetry: Pm, No. 6
* final energy: -9.085 eV/atom
* energy relative to the lowest polymorph listed for this composition: 1.51 kcal/mol of atoms
* spin magnetization: 0.0 μB per formula unit
* calculated density: 13.94 g/cm3

Unit cell a=4.2926 b=2.7860 c=5.9815 alpha=71.54 beta=90.00 gamma=90.00
Last column: nearest neighbours and their distance in Å.
Atoms (fractional coordinates):
Mo  0.5000  0.2328  0.2389  4 Mo 2.62-2.79, 2 Ta 2.78, 2 Au 2.84-2.91
Ta  0.0000  0.4446  0.4891  6 Mo 2.77-3.10, 2 Ta 2.79, 4 Au 2.94-2.96
Mo  0.0000  0.0619  0.0243  4 Mo 2.62-2.79, 1 Ta 2.77
Au  0.5000  0.7608  0.7477  2 Au 2.79, 6 Mo 2.84-3.02, 4 Ta 2.94-2.96